one | # Dy2HoCu4Si2Sn2 (GGA-PBE, relaxed)
data_Dy2HoCu4Si2Sn2
_chemical_formula_sum 'Dy2 Ho1 Cu4 Si2 Sn2'
_space_group_name_H-M_alt 'P 1'
_space_group_IT_number 1
_cell_length_a 8.1617
_cell_length_b 8.1617
_cell_length_c 8.1617
_cell_angle_alpha 149.94
_cell_angle_beta 130.46
_cell_angle_gamma 59.04
loop_
_space_group_symop_operation_xyz
'x,y,z'
loop_
_atom_site_label
_atom_site_fract_x
_atom_site_fract_y
_atom_site_fract_z
Dy1 0.1349 0.1349 0.0000
Dy2 0.8651 0.8651 0.0000
Ho1 0.5000 0.0000 0.5000
Cu1 0.1282 0.3181 0.8100
Cu2 0.4919 0.6819 0.8100
Cu3 0.5081 0.3181 0.1900
Cu4 0.8718 0.6819 0.1900
Si1 0.2844 0.7844 0.5000
Si2 0.7156 0.2156 0.5000
Sn1 0.2037 0.5000 0.7037
Sn2 0.7963 0.5000 0.2963
# spin magnetization: 0.00 Bohr magnetons per cell
# space group: No. 71
# crystal system: orthorhombic
# V: 18.69 A^3/atom

=====

two | # Dy2HoCu4Si2Sn2 (GGA-PBE, relaxed)
data_Dy2HoCu4Si2Sn2
_chemical_formula_sum 'Dy2 Ho1 Cu4 Si2 Sn2'
_space_group_name_H-M_alt 'P 1'
_space_group_IT_number 1
_cell_length_a 8.1921
_cell_length_b 8.1921
_cell_length_c 8.1921
_cell_angle_alpha 149.42
_cell_angle_beta 132.38
_cell_angle_gamma 57.66
loop_
_space_group_symop_operation_xyz
'x,y,z'
loop_
_atom_site_label
_atom_site_fract_x
_atom_site_fract_y
_atom_site_fract_z
Dy1 0.1243 0.1243 0.0000
Dy2 0.8757 0.8757 0.0000
Ho1 0.5000 0.0000 0.5000
Cu1 0.1572 0.3469 0.8103
Cu2 0.4633 0.6531 0.8103
Cu3 0.5367 0.3469 0.1897
Cu4 0.8428 0.6531 0.1897
Si1 0.1820 0.5000 0.6820
Si2 0.8180 0.5000 0.3180
Sn1 0.2820 0.7820 0.5000
Sn2 0.7180 0.2180 0.5000
# spin magnetization: 0.00 Bohr magnetons per cell
# space group: No. 71
# crystal system: orthorhombic
# V: 18.64 A^3/atom

=====

Relative to the most stable structure, the computed energies are one 0.071; two 0.000, all in eV/atom.

=====

one | # DyMgCuTe3 (GGA-PBE, relaxed)
data_DyMgCuTe3
_chemical_formula_sum 'Dy2 Mg2 Cu2 Te6'
_space_group_name_H-M_alt 'P 1'
_space_group_IT_number 1
_cell_length_a 7.2584
_cell_length_b 7.2584
_cell_length_c 11.2502
_cell_angle_alpha 90.00
_cell_angle_beta 90.00
_cell_angle_gamma 147.11
loop_
_space_group_symop_operation_xyz
'x,y,z'
loop_
_atom_site_label
_atom_site_fract_x
_atom_site_fract_y
_atom_site_fract_z
Dy1 0.0000 0.0000 0.0000
Dy2 0.0000 0.0000 0.5000
Mg1 0.2273 0.7727 0.7500
Mg2 0.7727 0.2273 0.2500
Cu1 0.4769 0.5231 0.2500
Cu2 0.5231 0.4769 0.7500
Te1 0.1006 0.8994 0.2500
Te2 0.3503 0.6497 0.0758
Te3 0.3503 0.6497 0.4242
Te4 0.6497 0.3503 0.5758
Te5 0.6497 0.3503 0.9242
Te6 0.8994 0.1006 0.7500
# spin magnetization: 0.00 Bohr magnetons per cell
# space group: No. 63
# crystal system: orthorhombic
# V: 26.82 A^3/atom

=====

two | # DyMgCuTe3 (GGA-PBE, relaxed)
data_DyMgCuTe3
_chemical_formula_sum 'Dy4 Mg4 Cu4 Te12'
_space_group_name_H-M_alt 'P 1'
_space_group_IT_number 1
_cell_length_a 12.4716
_cell_length_b 4.1493
_cell_length_c 12.1658
_cell_angle_alpha 90.00
_cell_angle_beta 90.00
_cell_angle_gamma 90.00
loop_
_space_group_symop_operation_xyz
'x,y,z'
loop_
_atom_site_label
_atom_site_fract_x
_atom_site_fract_y
_atom_site_fract_z
Dy1 0.0486 0.2500 0.1919
Dy2 0.4514 0.7500 0.6919
Dy3 0.5486 0.2500 0.3081
Dy4 0.9514 0.7500 0.8081
Mg1 0.2203 0.2500 0.4596
Mg2 0.2797 0.7500 0.9596
Mg3 0.7203 0.2500 0.0404
Mg4 0.7797 0.7500 0.5404
Cu1 0.2422 0.7500 0.2844
Cu2 0.2578 0.2500 0.7844
Cu3 0.7422 0.7500 0.2156
Cu4 0.7578 0.2500 0.7156
Te1 0.0577 0.7500 0.3773
Te2 0.0998 0.2500 0.9309
Te3 0.2025 0.7500 0.6629
Te4 0.2975 0.2500 0.1629
Te5 0.4002 0.7500 0.4309
Te6 0.4423 0.2500 0.8773
Te7 0.5577 0.7500 0.1227
Te8 0.5998 0.2500 0.5691
Te9 0.7025 0.7500 0.8371
Te10 0.7975 0.2500 0.3371
Te11 0.9002 0.7500 0.0691
Te12 0.9423 0.2500 0.6227
# spin magnetization: 0.00 Bohr magnetons per cell
# space group: No. 62
# crystal system: orthorhombic
# V: 26.23 A^3/atom

=====

Relative to the most stable structure, the computed energies are one 0.000; two 0.031, all in eV/atom.

=====

one | # DyCuOs (GGA-PBE, relaxed)
data_DyCuOs
_chemical_formula_sum 'Dy1 Cu1 Os1'
_space_group_name_H-M_alt 'P 1'
_space_group_IT_number 1
_cell_length_a 4.4241
_cell_length_b 4.4241
_cell_length_c 4.4241
_cell_angle_alpha 60.00
_cell_angle_beta 60.00
_cell_angle_gamma 60.00
loop_
_space_group_symop_operation_xyz
'x,y,z'
loop_
_atom_site_label
_atom_site_fract_x
_atom_site_fract_y
_atom_site_fract_z
Dy1 0.0000 0.0000 0.0000
Cu1 0.5000 0.5000 0.5000
Os1 0.7500 0.7500 0.7500
# spin magnetization: 0.00 Bohr magnetons per cell
# space group: No. 216
# crystal system: cubic
# V: 20.41 A^3/atom

=====

two | # DyCuOs (GGA-PBE, relaxed)
data_DyCuOs
_chemical_formula_sum 'Dy1 Cu1 Os1'
_space_group_name_H-M_alt 'P 1'
_space_group_IT_number 1
_cell_length_a 4.5051
_cell_length_b 4.5051
_cell_length_c 4.5051
_cell_angle_alpha 60.00
_cell_angle_beta 60.00
_cell_angle_gamma 60.00
loop_
_space_group_symop_operation_xyz
'x,y,z'
loop_
_atom_site_label
_atom_site_fract_x
_atom_site_fract_y
_atom_site_fract_z
Dy1 0.0000 0.0000 0.0000
Cu1 0.7500 0.7500 0.7500
Os1 0.2500 0.2500 0.2500
# spin magnetization: 0.04 Bohr magnetons per cell
# space group: No. 216
# crystal system: cubic
# V: 21.55 A^3/atom

=====

Relative to the most stable structure, the computed energies are one 0.000; two 0.460, all in eV/atom.

=====

one | # DyCuSbP (GGA-PBE, relaxed)
data_DyCuSbP
_chemical_formula_sum 'Dy2 Cu2 Sb2 P2'
_space_group_name_H-M_alt 'P 1'
_space_group_IT_number 1
_cell_length_a 4.0456
_cell_length_b 4.0456
_cell_length_c 9.7180
_cell_angle_alpha 90.00
_cell_angle_beta 90.00
_cell_angle_gamma 90.00
loop_
_space_group_symop_operation_xyz
'x,y,z'
loop_
_atom_site_label
_atom_site_fract_x
_atom_site_fract_y
_atom_site_fract_z
Dy1 0.2500 0.2500 0.2374
Dy2 0.7500 0.7500 0.7626
Cu1 0.2500 0.7500 0.0000
Cu2 0.7500 0.2500 0.0000
Sb1 0.2500 0.7500 0.5000
Sb2 0.7500 0.2500 0.5000
P1 0.2500 0.2500 0.8534
P2 0.7500 0.7500 0.1466
# spin magnetization: 0.00 Bohr magnetons per cell
# space group: No. 129
# crystal system: tetragonal
# V: 19.88 A^3/atom

=====

two | # DyCuSbP (GGA-PBE, relaxed)
data_DyCuSbP
_chemical_formula_sum 'Dy2 Cu2 Sb2 P2'
_space_group_name_H-M_alt 'P 1'
_space_group_IT_number 1
_cell_length_a 3.9656
_cell_length_b 3.9656
_cell_length_c 10.3000
_cell_angle_alpha 90.00
_cell_angle_beta 90.00
_cell_angle_gamma 90.00
loop_
_space_group_symop_operation_xyz
'x,y,z'
loop_
_atom_site_label
_atom_site_fract_x
_atom_site_fract_y
_atom_site_fract_z
Dy1 0.2500 0.2500 0.2041
Dy2 0.7500 0.7500 0.7959
Cu1 0.2500 0.7500 0.5000
Cu2 0.7500 0.2500 0.5000
Sb1 0.2500 0.2500 0.6680
Sb2 0.7500 0.7500 0.3320
P1 0.2500 0.7500 0.0000
P2 0.7500 0.2500 0.0000
# spin magnetization: 0.00 Bohr magnetons per cell
# space group: No. 129
# crystal system: tetragonal
# V: 20.25 A^3/atom

=====

Relative to the most stable structure, the computed energies are one 0.000; two 0.105, all in eV/atom.

=====

one | # PrDyCuSi3 (GGA-PBE, relaxed)
data_PrDyCuSi3
_chemical_formula_sum 'Pr2 Dy2 Cu2 Si6'
_space_group_name_H-M_alt 'P 1'
_space_group_IT_number 1
_cell_length_a 8.1283
_cell_length_b 8.0571
_cell_length_c 5.8012
_cell_angle_alpha 69.65
_cell_angle_beta 68.34
_cell_angle_gamma 42.00
loop_
_space_group_symop_operation_xyz
'x,y,z'
loop_
_atom_site_label
_atom_site_fract_x
_atom_site_fract_y
_atom_site_fract_z
Pr1 0.2440 0.7560 0.2440
Pr2 0.7560 0.2440 0.7560
Dy1 0.2500 0.2500 0.2500
Dy2 0.7500 0.7500 0.7500
Cu1 0.3322 0.3322 0.6678
Cu2 0.6678 0.6678 0.3322
Si1 0.1692 0.6591 0.8308
Si2 0.1701 0.1701 0.8299
Si3 0.3409 0.8308 0.6591
Si4 0.6591 0.1692 0.3409
Si5 0.8299 0.8299 0.1701
Si6 0.8308 0.3409 0.1692
# spin magnetization: 0.01 Bohr magnetons per cell
# space group: No. 69
# crystal system: orthorhombic
# V: 19.55 A^3/atom

=====

two | # PrDyCuSi3 (GGA-PBE, relaxed)
data_PrDyCuSi3
_chemical_formula_sum 'Pr2 Dy2 Cu2 Si6'
_space_group_name_H-M_alt 'P 1'
_space_group_IT_number 1
_cell_length_a 8.1508
_cell_length_b 8.0872
_cell_length_c 5.8082
_cell_angle_alpha 69.63
_cell_angle_beta 68.46
_cell_angle_gamma 41.92
loop_
_space_group_symop_operation_xyz
'x,y,z'
loop_
_atom_site_label
_atom_site_fract_x
_atom_site_fract_y
_atom_site_fract_z
Pr1 0.2500 0.2500 0.2500
Pr2 0.7500 0.7500 0.7500
Dy1 0.2432 0.7568 0.2432
Dy2 0.7568 0.2432 0.7568
Cu1 0.3349 0.3349 0.6651
Cu2 0.6651 0.6651 0.3349
Si1 0.1671 0.1671 0.8329
Si2 0.1723 0.6614 0.8277
Si3 0.3386 0.8277 0.6614
Si4 0.6614 0.1723 0.3386
Si5 0.8277 0.3386 0.1723
Si6 0.8329 0.8329 0.1671
# spin magnetization: 0.00 Bohr magnetons per cell
# space group: No. 69
# crystal system: orthorhombic
# V: 19.68 A^3/atom

=====

Relative to the most stable structure, the computed energies are one 0.000; two 0.007, all in eV/atom.